No. 1
The following is a DFT calculation (PBEsol) of a relaxed structure of Ge3Os2.

```
Ge3Os2
1.0
11.481 0.000 0.000
0.000 9.245 0.000
0.000 0.000 5.749
Ge Os
24 16
Direct
0.073 0.213 0.043 Ge
0.073 0.787 0.543 Ge
0.132 0.394 0.602 Ge
0.132 0.606 0.102 Ge
0.179 0.066 0.410 Ge
0.179 0.934 0.910 Ge
0.321 0.434 0.910 Ge
0.321 0.566 0.410 Ge
0.368 0.106 0.102 Ge
0.368 0.894 0.602 Ge
0.427 0.287 0.543 Ge
0.427 0.713 0.043 Ge
0.573 0.287 0.957 Ge
0.573 0.713 0.457 Ge
0.632 0.106 0.398 Ge
0.632 0.894 0.898 Ge
0.679 0.434 0.590 Ge
0.679 0.566 0.090 Ge
0.821 0.066 0.090 Ge
0.821 0.934 0.590 Ge
0.868 0.394 0.898 Ge
0.868 0.606 0.398 Ge
0.927 0.213 0.457 Ge
0.927 0.787 0.957 Ge
0.000 0.040 0.750 Os
0.000 0.426 0.250 Os
0.000 0.574 0.750 Os
0.000 0.960 0.250 Os
0.246 0.186 0.761 Os
0.246 0.814 0.261 Os
0.254 0.314 0.261 Os
0.254 0.686 0.761 Os
0.500 0.074 0.750 Os
0.500 0.460 0.250 Os
0.500 0.540 0.750 Os
0.500 0.926 0.250 Os
0.746 0.314 0.239 Os
0.746 0.686 0.739 Os
0.754 0.186 0.739 Os
0.754 0.814 0.239 Os
```

Computed properties:
- uncorrected energy (eV/f.u.) = -39.87
- calculated formation energy (eV per atom) = -0.125

No. 2
The following is a DFT calculation (PBEsol) of a relaxed structure of BaMnIr2.

```
BaMnIr2
1.0
2.889 0.000 0.000
0.000 3.702 0.000
0.000 0.000 7.318
Ba Mn Ir
1 1 2
Direct
0.000 0.000 0.000 Ba
0.500 0.500 0.643 Mn
0.000 0.000 0.490 Ir
0.500 0.500 0.307 Ir
```

Computed properties:
- uncorrected energy (eV/f.u.) = -29.75
- calculated formation energy (eV per atom) = 0.452

No. 3
The following is a DFT calculation (PBEsol) of a relaxed structure of Ta2IrRu.

```
Ta2IrRu
1.0
5.831 0.000 0.000
0.000 7.332 0.000
0.000 0.000 2.915
Ta Ir Ru
4 2 2
Direct
0.250 0.250 0.000 Ta
0.250 0.750 0.000 Ta
0.750 0.250 0.000 Ta
0.750 0.750 0.000 Ta
0.000 0.000 0.500 Ir
0.500 0.500 0.500 Ir
0.000 0.500 0.500 Ru
0.500 0.000 0.500 Ru
```

Computed properties:
- uncorrected energy (eV/f.u.) = -46.69
- calculated formation energy (eV per atom) = -0.397

No. 4
The following is a DFT calculation (PBEsol) of a relaxed structure of SrCuOs2.

```
SrCuOs2
1.0
2.915 0.000 0.000
0.000 2.915 0.000
0.000 0.000 7.948
Sr Cu Os
1 1 2
Direct
0.000 0.000 0.000 Sr
0.500 0.500 0.296 Cu
0.000 0.000 0.497 Os
0.500 0.500 0.693 Os
```

Computed properties:
- uncorrected energy (eV/f.u.) = -28.65
- calculated formation energy (eV per atom) = 0.489

No. 5
The following is a DFT calculation (PBEsol) of a relaxed structure of CsBeRu3.

```
CsBeRu3
1.0
4.768 0.000 0.000
0.000 4.768 0.000
0.000 0.000 4.768
Cs Be Ru
1 1 3
Direct
0.000 0.000 0.000 Cs
0.500 0.500 0.500 Be
0.000 0.000 0.500 Ru
0.000 0.500 0.000 Ru
0.500 0.000 0.000 Ru
```

Computed properties:
- uncorrected energy (eV/f.u.) = -19.18
- calculated formation energy (eV per atom) = 3.256

No. 6
The following is a DFT calculation (PBEsol) of a relaxed structure of YWIO2.

```
YWIO2
1.0
3.977 0.000 0.000
0.000 3.977 0.000
0.000 0.000 5.791
Y W I O
1 1 1 2
Direct
0.000 0.000 0.000 Y
0.500 0.500 0.500 W
0.500 0.500 0.000 I
0.000 0.500 0.500 O
0.500 0.000 0.500 O
```

Computed properties:
- uncorrected energy (eV/f.u.) = -37.15
- ΔE_f (raw) (meV per atom) = -850

No. 7
The following is a DFT calculation (PBEsol) of a relaxed structure of KTcSe2.

```
KTcSe2
1.0
3.164 0.000 0.000
0.000 3.164 0.000
0.000 0.000 7.725
K Tc Se
1 1 2
Direct
0.000 0.000 0.000 K
0.000 0.000 0.500 Tc
0.500 0.500 0.310 Se
0.500 0.500 0.690 Se
```

Computed properties:
- uncorrected energy (eV/f.u.) = -21.27
- ΔE_f (raw) (meV per atom) = -293

No. 8
The following is a DFT calculation (PBEsol) of a relaxed structure of Be2ReIr.

```
Be2ReIr
1.0
3.762 0.000 0.000
0.000 2.737 0.000
0.000 0.000 8.444
Be Re Ir
4 2 2
Direct
0.000 0.000 0.000 Be
0.000 0.500 0.500 Be
0.500 0.000 0.149 Be
0.500 0.500 0.649 Be
0.000 0.000 0.728 Re
0.000 0.500 0.228 Re
0.500 0.000 0.426 Ir
0.500 0.500 0.926 Ir
```

Computed properties:
- uncorrected energy (eV/f.u.) = -32.06
- calculated formation energy (eV per atom) = -0.227

No. 9
The following is a DFT calculation (PBEsol) of a relaxed structure of CaSc4Pb.

```
CaSc4Pb
1.0
0.000 4.272 4.272
4.272 0.000 4.272
4.272 4.272 0.000
Ca Sc Pb
1 4 1
Direct
0.000 0.000 0.000 Ca
0.124 0.625 0.625 Sc
0.625 0.124 0.625 Sc
0.625 0.625 0.124 Sc
0.625 0.625 0.625 Sc
0.250 0.250 0.250 Pb
```

Computed properties:
- uncorrected energy (eV/f.u.) = -31.86
- calculated formation energy (eV per atom) = 0.115

No. 10
The following is a DFT calculation (PBEsol) of a relaxed structure of GeAuS2N.

```
GeAuS2N
1.0
4.958 0.000 0.000
0.000 4.958 0.000
0.000 0.000 3.709
Ge Au S N
1 1 2 1
Direct
0.000 0.000 0.000 Ge
0.500 0.500 0.500 Au
0.000 0.500 0.500 S
0.500 0.000 0.500 S
0.500 0.500 0.000 N
```

Computed properties:
- uncorrected energy (eV/f.u.) = -21.44
- ΔE_f (raw) (meV per atom) = 944

No. 11
The following is a DFT calculation (PBEsol) of a relaxed structure of Zr3RhW.

```
Zr3RhW
1.0
4.839 0.000 0.000
0.000 4.839 0.000
0.000 0.000 4.839
Zr Rh W
3 1 1
Direct
0.000 0.000 0.500 Zr
0.000 0.500 0.000 Zr
0.500 0.000 0.000 Zr
0.000 0.000 0.000 Rh
0.500 0.500 0.500 W
```

Computed properties:
- uncorrected energy (eV/f.u.) = -44.82
- calculated formation energy (eV per atom) = 0.879

No. 12
The following is a DFT calculation (PBEsol) of a relaxed structure of MgInCu2.

```
MgInCu2
1.0
3.130 0.000 0.000
0.000 3.130 0.000
0.000 0.000 6.512
Mg In Cu
1 1 2
Direct
0.000 0.000 0.000 Mg
0.500 0.500 0.668 In
0.000 0.000 0.415 Cu
0.500 0.500 0.241 Cu
```

Computed properties:
- uncorrected energy (eV/f.u.) = -13.47
- calculated formation energy (eV per atom) = -0.026

The lowest uncorrected energy belongs to which entry?
Ta2IrRu

Which of these has the lowest uncorrected energy?
Ta2IrRu

Copy entry 11 word for word.
The following is a DFT calculation (PBEsol) of a relaxed structure of Zr3RhW.

```
Zr3RhW
1.0
4.839 0.000 0.000
0.000 4.839 0.000
0.000 0.000 4.839
Zr Rh W
3 1 1
Direct
0.000 0.000 0.500 Zr
0.000 0.500 0.000 Zr
0.500 0.000 0.000 Zr
0.000 0.000 0.000 Rh
0.500 0.500 0.500 W
```

Computed properties:
- uncorrected energy (eV/f.u.) = -44.82
- calculated formation energy (eV per atom) = 0.879

Look up the uncorrected energy of the eleventh one.
-44.82 eV/f.u.